DFT (GGA-PBE) results for a relaxed IrSIN2 crystal.

extended XYZ file:
```
5
Lattice="-1.739 1.787 -2.835 1.776 -2.218 -2.487 -6.508 -5.677 0.415" Properties=species:S:1:pos:R:3 pbc="T T T"
N -0.870 0.893 -1.418
N 0.888 -1.109 -1.244
S -3.235 -3.054 -2.454
Ir 0.000 0.000 0.000
I -3.254 -2.839 0.207
```

Values from the calculation:
Energy relative to the lowest polymorph listed for this composition   0.0000 eV per atom
Theoretical density   5.11 g cm⁻³

=====

DFT (GGA-PBE) results for a relaxed IrS2IN crystal.

extended XYZ file:
```
5
Lattice="4.995 0.000 0.000 0.000 3.702 0.000 0.000 0.000 4.995" Properties=species:S:1:pos:R:3 pbc="T T T"
I 2.497 1.851 2.497
S 2.497 0.000 0.000
S 0.000 0.000 2.497
Ir 0.000 0.000 0.000
N 0.000 1.851 0.000
```

Values from the calculation:
Energy relative to the lowest polymorph listed for this composition   0.0000 eV per atom
Theoretical density   7.14 g cm⁻³

=====

DFT (GGA-PBE) results for a relaxed IrS2IN crystal.

extended XYZ file:
```
5
Lattice="-2.196 -3.227 -3.279 3.976 0.498 -3.153 1.716 -2.900 1.705" Properties=species:S:1:pos:R:3 pbc="T T T"
N 0.858 -1.450 0.853
S -1.098 -1.614 -1.640
Ir 1.747 -2.815 -2.363
S 1.988 0.249 -1.576
I 0.000 0.000 0.000
```

Values from the calculation:
Energy relative to the lowest polymorph listed for this composition   1.4710 eV per atom
Theoretical density   6.72 g cm⁻³

=====

DFT (GGA-PBE) results for a relaxed SbIrIN2 crystal.

extended XYZ file:
```
5
Lattice="3.972 0.000 0.000 0.000 3.972 0.000 0.000 0.000 6.971" Properties=species:S:1:pos:R:3 pbc="T T T"
N 1.986 0.000 0.000
Sb 0.000 0.000 0.000
I 0.000 0.000 3.485
Ir 1.986 1.986 3.485
N 0.000 1.986 0.000
```

Values from the calculation:
Energy relative to the lowest polymorph listed for this composition   0.5494 eV per atom
Theoretical density   7.08 g cm⁻³

=====

DFT (GGA-PBE) results for a relaxed Sb2IrIN crystal.

extended XYZ file:
```
5
Lattice="-3.431 0.035 3.208 -2.629 -2.722 -2.782 1.801 -3.750 1.968" Properties=species:S:1:pos:R:3 pbc="T T T"
Sb -1.314 -1.361 -1.391
Sb -1.715 0.018 1.604
I 0.901 -1.875 0.984
N 0.000 0.000 0.000
Ir -2.129 -3.219 1.197
```

Values from the calculation:
Energy relative to the lowest polymorph listed for this composition   0.0000 eV per atom
Theoretical density   9.43 g cm⁻³

=====

DFT (GGA-PBE) results for a relaxed SbIrIN2 crystal.

extended XYZ file:
```
5
Lattice="-0.368 -0.689 3.857 1.613 -3.556 -0.482 7.233 3.112 1.246" Properties=species:S:1:pos:R:3 pbc="T T T"
I 3.616 1.556 0.623
N -0.184 -0.345 1.928
N 0.807 -1.778 -0.241
Ir 0.000 0.000 0.000
Sb 4.239 -0.567 2.310
```

Values from the calculation:
Energy relative to the lowest polymorph listed for this composition   0.0000 eV per atom
Theoretical density   6.31 g cm⁻³

=====

DFT (GGA-PBE) results for a relaxed Sb2IrIN crystal.

extended XYZ file:
```
5
Lattice="5.071 0.000 0.000 0.000 5.071 0.000 0.000 0.000 5.636" Properties=species:S:1:pos:R:3 pbc="T T T"
Ir 0.000 0.000 0.000
I 0.000 0.000 2.818
Sb 2.536 0.000 0.000
N 2.536 2.536 2.818
Sb 0.000 2.536 0.000
```

Values from the calculation:
Energy relative to the lowest polymorph listed for this composition   0.4804 eV per atom
Theoretical density   6.61 g cm⁻³

=====

DFT (GGA-PBE) results for a relaxed Sb2IrIN crystal.

extended XYZ file:
```
5
Lattice="5.821 0.000 0.000 0.000 4.800 0.000 0.000 0.000 5.821" Properties=species:S:1:pos:R:3 pbc="T T T"
Sb 2.910 0.000 0.000
N 2.910 2.400 2.910
Ir 0.000 2.400 0.000
I 0.000 0.000 0.000
Sb 0.000 0.000 2.910
```

Values from the calculation:
Energy relative to the lowest polymorph listed for this composition   1.4833 eV per atom
Theoretical density   5.89 g cm⁻³

=====

DFT (GGA-PBE) results for a relaxed IrSeIN2 crystal.

extended XYZ file:
```
5
Lattice="3.726 0.000 0.000 0.000 3.726 0.000 0.000 0.000 8.779" Properties=species:S:1:pos:R:3 pbc="T T T"
N 1.863 0.000 0.000
N 0.000 1.863 0.000
Se 0.000 0.000 0.000
I 0.000 0.000 4.390
Ir 1.863 1.863 4.390
```

Values from the calculation:
Energy relative to the lowest polymorph listed for this composition   0.9897 eV per atom
Theoretical density   5.80 g cm⁻³

=====

DFT (GGA-PBE) results for a relaxed IrSeIN2 crystal.

extended XYZ file:
```
5
Lattice="-0.412 -1.319 -3.576 -2.359 -2.737 1.282 -6.671 5.211 -1.154" Properties=species:S:1:pos:R:3 pbc="T T T"
N -0.206 -0.660 -1.788
I -3.336 2.606 -0.577
Se -4.721 0.578 -1.724
N -1.180 -1.368 0.641
Ir 0.000 0.000 0.000
```

Values from the calculation:
Energy relative to the lowest polymorph listed for this composition   0.0000 eV per atom
Theoretical density   5.63 g cm⁻³

=====

DFT (GGA-PBE) results for a relaxed IrSeIN2 crystal.

extended XYZ file:
```
5
Lattice="3.845 0.000 0.000 0.000 3.845 0.000 0.000 0.000 6.577" Properties=species:S:1:pos:R:3 pbc="T T T"
I 0.000 0.000 0.000
Se 0.000 0.000 3.288
N 1.923 0.000 0.000
Ir 1.923 1.923 3.288
N 0.000 1.923 0.000
```

Values from the calculation:
Energy relative to the lowest polymorph listed for this composition   1.2862 eV per atom
Theoretical density   7.28 g cm⁻³

=====

DFT (GGA-PBE) results for a relaxed IrSeIN2 crystal.

extended XYZ file:
```
5
Lattice="3.889 0.000 0.000 0.000 3.889 0.000 0.000 0.000 5.904" Properties=species:S:1:pos:R:3 pbc="T T T"
Se 0.000 0.000 2.952
Ir 0.000 0.000 0.000
N 0.000 1.945 0.000
I 1.945 1.945 2.952
N 1.945 0.000 0.000
```

Values from the calculation:
Energy relative to the lowest polymorph listed for this composition   0.0165 eV per atom
Theoretical density   7.92 g cm⁻³

=====

DFT (GGA-PBE) results for a relaxed Sm8Ir3I4N crystal.

extended XYZ file:
```
16
Lattice="8.180 0.000 0.000 0.000 9.254 0.725 -4.090 -4.095 5.799" Properties=species:S:1:pos:R:3 pbc="T T T"
Sm 4.090 0.687 3.510
Sm 0.000 0.679 3.369
I 4.090 0.000 0.000
Sm 0.000 4.472 3.014
Sm 4.090 4.480 3.155
Sm 6.254 2.849 0.472
Ir 4.090 4.627 0.363
N 0.000 4.627 0.363
Ir 2.045 2.580 3.262
Sm 2.163 2.310 6.052
Sm -2.164 2.310 6.052
Sm 1.927 2.849 0.472
I -2.045 -2.047 2.899
I 2.045 -2.047 2.899
I 0.000 0.000 0.000
Ir -2.045 2.580 3.262
```

Values from the calculation:
Theoretical density   8.25 g cm⁻³

=====

DFT (GGA-PBE) results for a relaxed Sm8Ir3I3N crystal.

extended XYZ file:
```
15
Lattice="8.145 0.001 0.001 -4.072 7.055 -0.026 0.001 -4.668 8.046" Properties=species:S:1:pos:R:3 pbc="T T T"
Sm 0.001 2.365 2.512
Sm 4.073 0.022 5.508
Ir -2.036 1.193 4.010
Ir 4.073 -2.334 4.023
Sm 6.255 -1.249 2.633
Sm 1.891 -1.248 2.632
N 0.000 -2.334 4.023
I 0.000 0.000 0.000
Sm 0.001 -0.142 5.405
Sm 4.073 2.530 2.616
Sm 2.183 3.636 5.389
Ir 2.037 1.194 4.010
I 2.037 3.528 -0.013
Sm -2.182 3.636 5.388
I -2.036 3.527 -0.013
```

Values from the calculation:
Theoretical density   7.83 g cm⁻³

=====

Raw formation energy list, top to bottom, in eV/atom: 0.9582; 0.6400; 2.1110; 1.8005; 1.1253; 1.2510; 1.6056; 2.6085; 1.9586; 0.9689; 2.2550; 0.9854; -0.9683; -0.8527
Spin magnetization list, top to bottom, in μB/f.u.: 0.358; 0.000; 0.391; 2.586; 0.000; 0.824; 0.113; 0.456; 0.000; 0.356; 1.306; 0.323; 0.000; 0.001
Final energy list, top to bottom, in eV per atom: -5.280; -4.758; -3.287; -4.436; -4.271; -4.986; -3.791; -2.788; -4.151; -5.140; -3.854; -5.124; -5.897; -6.007